Entry one
Material: Tl2BiBr2
Method: DFT, PBE
State: optimized geometry

```
data_Tl2BiBr2
_symmetry_space_group_name_H-M 'I 4/m m m'
_symmetry_Int_Tables_number 139
_symmetry_space_group_name_Hall '-I 4 2'
_cell_length_a 6.5043
_cell_length_b 6.5043
_cell_length_c 9.3458
_cell_angle_alpha 90.00
_cell_angle_beta 90.00
_cell_angle_gamma 90.00
loop_
_atom_site_label
_atom_site_type_symbol
_atom_site_fract_x
_atom_site_fract_y
_atom_site_fract_z
Tl1 Tl 0.0000 0.5000 0.2500
Bi1 Bi 0.0000 0.0000 0.0000
Br1 Br 0.0000 0.0000 0.3125
```


Entry two
Material: Tl2BiBr2
Method: DFT, PBE
State: optimized geometry

```
data_Tl2BiBr2
_symmetry_space_group_name_H-M 'P 4/m b m'
_symmetry_Int_Tables_number 127
_symmetry_space_group_name_Hall '-P 4 2ab'
_cell_length_a 8.9376
_cell_length_b 8.9376
_cell_length_c 4.2381
_cell_angle_alpha 90.00
_cell_angle_beta 90.00
_cell_angle_gamma 90.00
loop_
_atom_site_label
_atom_site_type_symbol
_atom_site_fract_x
_atom_site_fract_y
_atom_site_fract_z
Tl1 Tl 0.1497 0.3503 0.0000
Bi1 Bi 0.0000 0.0000 0.5000
Br1 Br 0.1595 0.6595 0.5000
```


The data favor entry one; the next most stable structure lies 8 meV per atom above it.